Entry 1:
VASP calculation (GGA-PBE) on crystalline LaPrSn4Pd2 at its relaxed geometry.

a = 4.531 Å, b = 4.592 Å, c = 9.917 Å
α = 90.00°, β = 101.99°, γ = 90.00°
Fractional coordinates of all 8 atoms:
Pd: 0.834 0.000 0.654
Sn: 0.742 0.500 0.503
Sn: 0.125 0.500 0.078
Pr: 0.366 0.500 0.781
Sn: 0.873 0.000 0.920
La: 0.634 0.000 0.220
Pd: 0.165 0.500 0.346
Sn: 0.259 0.000 0.499

Calculated values
Its calculated density is 7.958 Mg/m³. Its crystal system is monoclinic. Its total energy is -5.274 eV per atom. The magnetic moment is 0.00 μB/f.u.

Entry 2:
VASP calculation (GGA-PBE) on crystalline Rb2TaSnS6 at its relaxed geometry.

a = 12.648 Å, b = 12.648 Å, c = 12.648 Å
α = 32.87°, β = 32.87°, γ = 32.87°
Fractional coordinates of all 20 atoms:
S: 0.861 0.389 0.389
S: 0.790 0.790 0.296
Rb: 0.126 0.126 0.126
S: 0.210 0.210 0.704
Ta: 0.411 0.411 0.411
S: 0.704 0.210 0.210
S: 0.389 0.389 0.861
S: 0.611 0.611 0.139
Rb: 0.709 0.709 0.709
S: 0.139 0.611 0.611
Ta: 0.589 0.589 0.589
S: 0.389 0.861 0.389
S: 0.210 0.704 0.210
S: 0.611 0.139 0.611
S: 0.790 0.296 0.790
Sn: 0.000 0.000 0.000
Rb: 0.874 0.874 0.874
Rb: 0.291 0.291 0.291
Sn: 0.500 0.500 0.500
S: 0.296 0.790 0.790

Calculated values
Its calculated density is 4.152 Mg/m³. Its crystal system is trigonal. Its total energy is -4.964 eV per atom. The magnetic moment is 0.01 μB/f.u.

Entry 3:
VASP calculation (GGA-PBE) on crystalline MgZnFeSb at its relaxed geometry.

a = 4.508 Å, b = 4.508 Å, c = 4.508 Å
α = 60.00°, β = 60.00°, γ = 60.00°
Fractional coordinates of all 4 atoms:
Zn: 0.750 0.750 0.750
Mg: 0.500 0.500 0.500
Sb: 0.250 0.250 0.250
Fe: 0.000 0.000 0.000

Calculated values
Its calculated density is 6.852 Mg/m³. Its crystal system is cubic. Its total energy is -3.554 eV per atom. The magnetic moment is 0.72 μB/f.u.

Entry 4:
VASP calculation (GGA-PBE) on crystalline SrSi2Tc2 at its relaxed geometry.

a = 6.129 Å, b = 6.129 Å, c = 6.129 Å
α = 140.38°, β = 140.38°, γ = 57.27°
Fractional coordinates of all 5 atoms:
Tc: 0.250 0.750 0.500
Sr: 0.000 0.000 0.000
Si: 0.627 0.627 0.000
Si: 0.373 0.373 0.000
Tc: 0.750 0.250 0.500

Calculated values
Its calculated density is 6.079 Mg/m³. Its crystal system is tetragonal. Its total energy is -7.031 eV per atom. The magnetic moment is 0.01 μB/f.u.

Entry 5:
VASP calculation (GGA-PBE) on crystalline Ho2ErFeCo8 at its relaxed geometry.

a = 8.473 Å, b = 8.473 Å, c = 8.473 Å
α = 34.22°, β = 34.22°, γ = 34.22°
Fractional coordinates of all 12 atoms:
Fe: 0.500 0.500 0.500
Er: 0.000 0.000 0.000
Co: 0.666 0.666 0.666
Co: 0.417 0.921 0.417
Co: 0.079 0.583 0.583
Co: 0.583 0.583 0.079
Ho: 0.139 0.139 0.139
Co: 0.417 0.417 0.921
Co: 0.921 0.417 0.417
Co: 0.334 0.334 0.334
Ho: 0.861 0.861 0.861
Co: 0.583 0.079 0.583

Calculated values
Its calculated density is 9.919 Mg/m³. Its crystal system is trigonal. The formation energy is -0.190 eV per atom. The magnetic moment is 11.75 μB/f.u.

Entry 6:
VASP calculation (GGA-PBE) on crystalline ThAlNi at its relaxed geometry.

a = 7.492 Å, b = 7.492 Å, c = 4.429 Å
α = 90.00°, β = 90.00°, γ = 120.00°
Fractional coordinates of all 9 atoms:
Ni: 0.608 0.608 0.500
Th: 0.333 0.667 0.000
Th: 0.667 0.333 0.000
Al: 0.761 0.761 0.000
Th: 0.000 0.000 0.500
Al: 0.239 0.000 0.000
Ni: 0.392 0.000 0.500
Ni: 0.000 0.392 0.500
Al: 0.000 0.239 0.000

Calculated values
Its calculated density is 7.351 Mg/m³. Its crystal system is hexagonal. Its total energy is -5.391 eV per atom. The magnetic moment is 0.02 μB/f.u.

Entry 7:
VASP calculation (GGA-PBE) on crystalline CsCuReTe2Se at its relaxed geometry.

a = 8.830 Å, b = 8.830 Å, c = 10.142 Å
α = 90.00°, β = 90.00°, γ = 153.91°
Fractional coordinates of all 12 atoms:
Te: 0.392 0.608 0.461
Se: 0.945 0.055 0.750
Te: 0.608 0.392 0.539
Se: 0.055 0.945 0.250
Cu: 0.526 0.474 0.750
Re: 0.000 0.000 0.000
Re: 0.000 0.000 0.500
Cs: 0.747 0.253 0.250
Cs: 0.253 0.747 0.750
Cu: 0.474 0.526 0.250
Te: 0.608 0.392 0.961
Te: 0.392 0.608 0.039

Calculated values
Its calculated density is 6.845 Mg/m³. Its crystal system is orthorhombic. Its total energy is -4.585 eV per atom. The magnetic moment is 2.17 μB/f.u.

Entry 8:
VASP calculation (GGA-PBE) on crystalline Co3GeN at its relaxed geometry.

a = 5.176 Å, b = 5.176 Å, c = 7.278 Å
α = 90.00°, β = 90.00°, γ = 148.05°
Fractional coordinates of all 10 atoms:
Co: 0.458 0.542 0.250
Ge: 0.250 0.750 0.750
Co: 0.872 0.128 0.970
N: 0.500 0.500 0.000
Co: 0.872 0.128 0.530
N: 0.500 0.500 0.500
Ge: 0.750 0.250 0.250
Co: 0.128 0.872 0.470
Co: 0.128 0.872 0.030
Co: 0.542 0.458 0.750

Calculated values
Its calculated density is 8.479 Mg/m³. Its crystal system is orthorhombic. Its total energy is -6.916 eV per atom. The magnetic moment is 0.02 μB/f.u.